1.
DFT (GGA-PBE) results for a relaxed structure of Tm2FeSe.

Output
The polymorph energy (0 for the lowest one) is 0.595 eV per atom. The formation energy (no corrections) is -0.062 eV per atom. The volume comes out at 98 Å³/cell. The density of states at the Fermi level is 0.93 states/eV per atom.

Unit cell a=3.5971 b=3.5971 c=8.9696 alpha=78.43 beta=78.43 gamma=60.00
Last column: magnetic moment on the atom in μB.
Element x y z (fractional)
Se 0.5000 0.5000 0.5000  0.00
Tm 0.0945 0.0945 0.7164  -0.29
Fe 0.0000 0.0000 0.0000  2.22
Tm 0.9055 0.9055 0.2836  -0.29

***

2.
DFT (GGA-PBE) results for a relaxed structure of Tm4FeSe.

Output
The formation energy (no corrections) is -0.538 eV per atom. The volume comes out at 561 Å³/cell. The density of states at the Fermi level is 0.94 states/eV per atom.

Unit cell a=3.8862 b=7.6903 c=18.7604 alpha=90.00 beta=90.00 gamma=90.00
Element x y z (fractional)
Se 0.2500 0.7431 0.3042
Se 0.7500 0.2569 0.6958
Tm 0.7500 0.4463 0.2819
Tm 0.2500 0.0537 0.7819
Tm 0.2500 0.1423 0.5435
Tm 0.2500 0.9987 0.0695
Tm 0.7500 0.0013 0.9305
Tm 0.7500 0.8577 0.4565
Tm 0.2500 0.1280 0.3556
Tm 0.7500 0.3577 0.0435
Tm 0.2500 0.5537 0.7181
Tm 0.7500 0.3720 0.8556
Fe 0.2500 0.2536 0.9461
Tm 0.2500 0.6280 0.1444
Fe 0.7500 0.2464 0.4461
Se 0.7500 0.7569 0.8042
Tm 0.2500 0.4987 0.4305
Tm 0.7500 0.8720 0.6444
Tm 0.7500 0.9463 0.2181
Fe 0.7500 0.7464 0.0539
Se 0.2500 0.2431 0.1958
Tm 0.2500 0.6423 0.9565
Tm 0.7500 0.5013 0.5695
Fe 0.2500 0.7536 0.5539

***

3.
DFT (GGA-PBE) results for a relaxed structure of Tm4FeSe2.

Output
The formation energy (no corrections) is -0.910 eV per atom. The volume comes out at 338 Å³/cell. The density of states at the Fermi level is 0.50 states/eV per atom.

Unit cell a=3.7632 b=6.7643 c=13.8103 alpha=90.00 beta=90.00 gamma=106.15
Last column: magnetic moment on the atom in μB.
Element x y z (fractional)
Tm 0.5000 0.0000 0.0000  -0.07
Se 0.1424 0.2849 0.4343  -0.01
Se 0.8576 0.7151 0.9343  -0.01
Tm 0.2029 0.4058 0.6315  -0.13
Se 0.1424 0.2849 0.0657  -0.01
Tm 0.5000 0.0000 0.5000  -0.07
Tm 0.0435 0.0870 0.2500  -0.16
Tm 0.7971 0.5942 0.3685  -0.13
Tm 0.2029 0.4058 0.8685  -0.13
Fe 0.6040 0.2080 0.7500  1.29
Tm 0.7971 0.5942 0.1315  -0.13
Tm 0.9565 0.9130 0.7500  -0.16
Se 0.8576 0.7151 0.5657  -0.01
Fe 0.3960 0.7920 0.2500  1.29

***

4.
DFT (GGA-PBE) results for a relaxed structure of U6FeSe12.

Output
The formation energy (no corrections) is -0.980 eV per atom. The volume comes out at 507 Å³/cell. The density of states at the Fermi level is 2.52 states/eV per atom.

Unit cell a=8.1290 b=8.1290 c=8.1290 alpha=100.40 beta=100.40 gamma=100.40
Last column: magnetic moment on the atom in μB.
Element x y z (fractional)
U 0.2957 0.1295 0.6280  2.38
U 0.7043 0.8705 0.3720  2.38
Se 0.1764 0.4269 0.5712  -0.08
U 0.6280 0.2957 0.1295  2.38
U 0.8705 0.3720 0.7043  2.38
Se 0.5731 0.4288 0.8236  -0.08
Se 0.6896 0.9386 0.0363  -0.06
U 0.3720 0.7043 0.8705  2.38
Se 0.9637 0.3104 0.0614  -0.06
Se 0.0614 0.9637 0.3104  -0.06
Se 0.8236 0.5731 0.4288  -0.08
Se 0.5712 0.1764 0.4269  -0.08
Se 0.0363 0.6896 0.9386  -0.06
Se 0.4288 0.8236 0.5731  -0.08
Se 0.4269 0.5712 0.1764  -0.08
Se 0.3104 0.0614 0.9637  -0.06
U 0.1295 0.6280 0.2957  2.38
Fe 0.0000 0.0000 0.0000  2.95
Se 0.9386 0.0363 0.6896  -0.06

***

5.
DFT (GGA-PBE) results for a relaxed structure of U2FeSe.

Output
The formation energy (no corrections) is -0.363 eV per atom. The volume comes out at 86 Å³/cell. The density of states at the Fermi level is 2.09 states/eV per atom.

Unit cell a=3.8220 b=3.8220 c=7.1463 alpha=74.49 beta=74.49 gamma=60.00
Last column: magnetic moment on the atom in μB.
Element x y z (fractional)
Fe 0.0000 0.0000 0.0000  -0.69
Se 0.5000 0.5000 0.5000  -0.05
U 0.2634 0.2634 0.2098  2.05
U 0.7366 0.7366 0.7902  2.05

***

6.
DFT (GGA-PBE) results for a relaxed structure of UFeSe4.

Output
The formation energy (no corrections) is -0.499 eV per atom. The volume comes out at 277 Å³/cell. The density of states at the Fermi level is 1.91 states/eV per atom.

Unit cell a=6.4176 b=6.5304 c=6.7374 alpha=90.00 beta=101.29 gamma=90.00
Last column: magnetic moment on the atom in μB.
Element x y z (fractional)
Se 0.2412 0.7865 0.6875  -0.06
Se 0.1226 0.3185 0.7969  -0.06
Se 0.2589 0.2865 0.3125  -0.06
Fe 0.5000 0.0000 0.5000  2.52
U 0.0000 0.0000 0.0000  1.67
Se 0.6226 0.1815 0.7969  -0.06
Se 0.3774 0.8185 0.2031  -0.06
Fe 0.0000 0.5000 0.5000  2.52
Se 0.7412 0.7135 0.6875  -0.06
U 0.5000 0.5000 0.0000  1.67
Se 0.7588 0.2135 0.3125  -0.06
Se 0.8774 0.6815 0.2031  -0.06

***

7.
DFT (GGA-PBE) results for a relaxed structure of U8FeSe17.

Output
The formation energy (no corrections) is -1.045 eV per atom. The volume comes out at 651 Å³/cell. The density of states at the Fermi level is 2.41 states/eV per atom.

Unit cell a=8.2416 b=8.2416 c=10.8391 alpha=80.47 beta=80.47 gamma=64.32
Last column: magnetic moment on the atom in μB.
Element x y z (fractional)
U 0.3186 0.3186 0.0150  2.09
Se 0.9438 0.3246 0.0261  0.00
Se 0.5673 0.1785 0.4652  0.00
U 0.6814 0.6814 0.9850  2.09
Se 0.3246 0.9438 0.0261  0.00
Se 0.6754 0.0562 0.9739  0.00
U 0.1811 0.7008 0.7048  -2.14
U 0.7008 0.1811 0.7048  -2.14
Se 0.6982 0.6982 0.2456  0.00
Se 0.0597 0.0597 0.7742  0.04
U 0.2031 0.2031 0.5430  1.83
Se 0.8215 0.4327 0.5348  0.00
Se 0.7866 0.7866 0.7225  0.00
Se 0.9403 0.9403 0.2258  0.04
Fe 0.0000 0.0000 0.0000  2.80
Se 0.4786 0.4786 0.1694  0.01
U 0.2992 0.8189 0.2952  -2.14
Se 0.5214 0.5214 0.8306  0.01
Se 0.0562 0.6754 0.9739  0.00
Se 0.0000 0.0000 0.5000  0.02
U 0.8189 0.2992 0.2952  -2.14
Se 0.1785 0.5673 0.4652  0.00
Se 0.3018 0.3018 0.7544  0.00
Se 0.2134 0.2134 0.2775  0.00
U 0.7969 0.7969 0.4570  1.83
Se 0.4327 0.8215 0.5348  0.00

***

8.
DFT (GGA-PBE) results for a relaxed structure of U2FeSe5.

Output
The formation energy (no corrections) is -0.867 eV per atom. The volume comes out at 355 Å³/cell. The density of states at the Fermi level is 2.40 states/eV per atom.

Unit cell a=8.3065 b=8.3065 c=7.3309 alpha=82.77 beta=82.77 gamma=45.19
Last column: magnetic moment on the atom in μB.
Element x y z (fractional)
U 0.6899 0.0929 0.5904  2.00
U 0.9071 0.3101 0.9096  2.00
Se 0.1327 0.3093 0.1870  -0.05
U 0.0929 0.6899 0.0904  2.00
Se 0.3093 0.1327 0.6870  -0.05
Fe 0.0000 0.5000 0.5000  2.60
Se 0.2974 0.5200 0.4253  -0.07
Se 0.1009 0.8991 0.7500  -0.08
Se 0.4800 0.7026 0.0747  -0.07
U 0.3101 0.9071 0.4096  2.00
Se 0.5200 0.2974 0.9253  -0.07
Fe 0.5000 0.0000 0.0000  2.60
Se 0.8991 0.1009 0.2500  -0.08
Se 0.7026 0.4800 0.5747  -0.07
Se 0.8673 0.6907 0.8130  -0.05
Se 0.6907 0.8673 0.3130  -0.05

***

9.
DFT (GGA-PBE) results for a relaxed structure of VFe2Se4.

Output
The polymorph energy (0 for the lowest one) is 0.149 eV per atom. The formation energy (no corrections) is -0.305 eV per atom. The volume comes out at 170 Å³/cell. The density of states at the Fermi level is 0.58 states/eV per atom.

Unit cell a=6.9242 b=5.9301 c=6.6262 alpha=61.16 beta=131.78 gamma=120.49
Last column: magnetic moment on the atom in μB.
Element x y z (fractional)
Fe 0.2487 0.5034 0.8525  2.63
Se 0.1359 0.8734 0.4490  0.10
V 0.7414 0.5135 0.3368  0.04
Se 0.8291 0.1584 0.7279  0.03
Se 0.4107 0.6363 0.2410  0.03
Fe 0.5501 0.9523 0.9245  2.92
Se 0.5840 0.3627 0.9683  0.08

***

10.
DFT (GGA-PBE) results for a relaxed structure of VFeSe2.

Output
The polymorph energy (0 for the lowest one) is 0.393 eV per atom. The formation energy (no corrections) is -0.120 eV per atom. The volume comes out at 177 Å³/cell. The density of states at the Fermi level is 1.62 states/eV per atom.

Unit cell a=5.5612 b=5.5612 c=6.9315 alpha=66.35 beta=66.35 gamma=90.00
Last column: magnetic moment on the atom in μB.
Element x y z (fractional)
Se 0.1173 0.6250 0.2500  -0.03
V 0.5000 0.5000 0.0000  2.02
Fe 0.7500 0.2500 0.5000  2.76
Se 0.8750 0.8827 0.7500  -0.03
Se 0.6327 0.1250 0.2500  -0.03
Fe 0.0000 0.0000 0.0000  2.76
Se 0.3750 0.3673 0.7500  -0.03
V 0.2500 0.7500 0.5000  2.02

***

11.
DFT (GGA-PBE) results for a relaxed structure of VFeSe.

Output
The polymorph energy (0 for the lowest one) is 0.227 eV per atom. The formation energy (no corrections) is 0.069 eV per atom. The volume comes out at 102 Å³/cell. The density of states at the Fermi level is 1.00 states/eV per atom.

Unit cell a=3.8508 b=2.7181 c=9.8361 alpha=82.06 beta=90.00 gamma=90.00
Last column: magnetic moment on the atom in μB.
Element x y z (fractional)
Se 0.7500 0.3361 0.3278  0.02
Se 0.2500 0.6639 0.6722  0.02
Fe 0.2500 0.9133 0.1734  1.88
Fe 0.7500 0.0867 0.8266  1.88
V 0.7500 0.4615 0.0771  -0.92
V 0.2500 0.5385 0.9229  -0.92

***

12.
DFT (GGA-PBE) results for a relaxed structure of V4FeSe8.

Output
The formation energy (no corrections) is -0.546 eV per atom. The volume comes out at 262 Å³/cell. The density of states at the Fermi level is 1.00 states/eV per atom.

Unit cell a=6.8526 b=6.8526 c=7.5534 alpha=90.00 beta=116.98 gamma=120.00
Last column: magnetic moment on the atom in μB.
Element x y z (fractional)
V 0.5000 0.0000 0.0000  -1.02
Se 0.9954 0.2495 0.2449  0.05
V 0.0000 0.0000 0.0000  1.70
Fe 0.0000 0.5000 0.5000  3.11
V 0.0000 0.5000 0.0000  -1.02
Se 0.9954 0.7459 0.2449  0.05
Se 0.4933 0.7466 0.2399  0.06
Se 0.0046 0.7505 0.7551  0.05
Se 0.5010 0.7505 0.7551  0.05
Se 0.5067 0.2534 0.7601  0.06
V 0.5000 0.5000 0.0000  -1.02
Se 0.0046 0.2541 0.7551  0.05
Se 0.4990 0.2495 0.2449  0.05

***

13.
DFT (GGA-PBE) results for a relaxed structure of V2FeSe4.

Output
The polymorph energy (0 for the lowest one) is 0.000 eV per atom. The formation energy (no corrections) is -0.569 eV per atom. The volume comes out at 121 Å³/cell. The density of states at the Fermi level is 0.94 states/eV per atom.

Unit cell a=6.7640 b=6.7640 c=6.1549 alpha=64.81 beta=64.81 gamma=28.66
Last column: magnetic moment on the atom in μB.
Element x y z (fractional)
Se 0.6395 0.6395 0.0242  0.00
V 0.2561 0.2561 0.6827  0.14
Fe 0.0000 0.0000 0.0000  2.30
Se 0.8961 0.8961 0.4428  0.00
Se 0.3605 0.3605 0.9758  0.00
Se 0.1039 0.1039 0.5572  0.00
V 0.7439 0.7439 0.3173  0.14

***

14.
DFT (GGA-PBE) results for a relaxed structure of V2FeSe6.

Output
The formation energy (no corrections) is -0.399 eV per atom. The volume comes out at 362 Å³/cell. The density of states at the Fermi level is 0.87 states/eV per atom.

Unit cell a=5.8678 b=5.8678 c=10.4998 alpha=90.00 beta=90.00 gamma=90.00
Last column: magnetic moment on the atom in μB.
Element x y z (fractional)
V 0.5000 0.5000 0.3491  -0.63
Fe 0.5000 0.5000 0.0000  1.26
Se 0.7856 0.2144 0.0000  0.07
V 0.0000 0.0000 0.8491  -0.63
Se 0.1925 0.8075 0.6689  0.09
Se 0.3075 0.3075 0.1689  0.09
Se 0.2856 0.2856 0.5000  0.07
Se 0.7144 0.7144 0.5000  0.07
Se 0.1925 0.8075 0.3311  0.09
Se 0.3075 0.3075 0.8311  0.09
Se 0.2144 0.7856 0.0000  0.07
V 0.0000 0.0000 0.1509  -0.63
Se 0.6925 0.6925 0.1689  0.09
V 0.5000 0.5000 0.6509  -0.63
Se 0.8075 0.1925 0.3311  0.09
Se 0.8075 0.1925 0.6689  0.09
Se 0.6925 0.6925 0.8311  0.09
Fe 0.0000 0.0000 0.5000  1.26

***

15.
DFT (GGA-PBE) results for a relaxed structure of VFe3Se.

Output
The polymorph energy (0 for the lowest one) is 0.187 eV per atom. The formation energy (no corrections) is 1.103 eV per atom. The volume comes out at 82 Å³/cell. The density of states at the Fermi level is 0.70 states/eV per atom.

Unit cell a=4.3509 b=4.3509 c=4.3509 alpha=90.00 beta=90.00 gamma=90.00
Last column: magnetic moment on the atom in μB.
Element x y z (fractional)
V 0.0000 0.0000 0.0000  -1.46
Fe 0.5000 0.0000 0.0000  2.13
Se 0.5000 0.5000 0.5000  0.05
Fe 0.0000 0.5000 0.0000  2.13
Fe 0.0000 0.0000 0.5000  2.13

***

16.
DFT (GGA-PBE) results for a relaxed structure of VFe4Se2.

Output
The formation energy (no corrections) is 0.793 eV per atom. The volume comes out at 114 Å³/cell. The density of states at the Fermi level is 1.03 states/eV per atom.

Unit cell a=4.2692 b=4.2692 c=6.9679 alpha=72.16 beta=72.16 gamma=90.00
Last column: magnetic moment on the atom in μB.
Element x y z (fractional)
Fe 0.1914 0.1914 0.6172  2.86
Se 0.6208 0.6208 0.7585  0.02
V 0.0000 0.0000 0.0000  -1.25
Fe 0.0000 0.5000 0.0000  1.18
Se 0.3792 0.3792 0.2415  0.02
Fe 0.5000 0.0000 0.0000  1.18
Fe 0.8086 0.8086 0.3828  2.86

***

17.
DFT (GGA-PBE) results for a relaxed structure of V2FeSe.

Output
The formation energy (no corrections) is 0.236 eV per atom. The volume comes out at 112 Å³/cell. The density of states at the Fermi level is 1.05 states/eV per atom.

Unit cell a=6.5538 b=6.5538 c=5.3205 alpha=51.98 beta=51.98 gamma=90.00
Element x y z (fractional)
Fe 0.2500 0.7500 0.5000
Fe 0.5000 0.5000 0.0000
Se 0.7500 0.2500 0.5000
V 0.6001 0.1250 0.2500
V 0.8750 0.8501 0.7500
Se 0.0000 0.0000 0.0000
V 0.1499 0.6250 0.2500
V 0.3750 0.3999 0.7500

***

18.
DFT (GGA-PBE) results for a relaxed structure of VFe2Se4.

Output
The polymorph energy (0 for the lowest one) is 0.000 eV per atom. The formation energy (no corrections) is -0.454 eV per atom. The volume comes out at 149 Å³/cell. The density of states at the Fermi level is 0.51 states/eV per atom.

Unit cell a=3.3526 b=7.5060 c=6.5457 alpha=110.97 beta=104.80 gamma=83.24
Last column: magnetic moment on the atom in μB.
Element x y z (fractional)
Fe 0.5484 0.4501 0.4275  1.81
Se 0.3901 0.2782 0.0213  -0.02
Se 0.7612 0.7737 0.0244  0.02
Fe 0.8928 0.5125 0.1494  2.00
Se 0.0383 0.7012 0.5387  -0.01
V 0.2305 0.5359 0.8367  -0.48
Se 0.1389 0.2485 0.5020  -0.03

***

19.
DFT (GGA-PBE) results for a relaxed structure of VFeSe2.

Output
The polymorph energy (0 for the lowest one) is 0.477 eV per atom. The formation energy (no corrections) is -0.037 eV per atom. The volume comes out at 63 Å³/cell. The density of states at the Fermi level is 0.17 states/eV per atom.

Unit cell a=4.4664 b=4.4664 c=4.4664 alpha=60.00 beta=60.00 gamma=60.00
Last column: magnetic moment on the atom in μB.
Element x y z (fractional)
Se 0.7500 0.7500 0.7500  -0.05
Se 0.2500 0.2500 0.2500  -0.05
Fe 0.5000 0.5000 0.5000  2.79
V 0.0000 0.0000 0.0000  2.05

***

20.
DFT (GGA-PBE) results for a relaxed structure of VFeSe3.

Output
The polymorph energy (0 for the lowest one) is 0.177 eV per atom. The formation energy (no corrections) is -0.282 eV per atom. The volume comes out at 198 Å³/cell. The density of states at the Fermi level is 0.57 states/eV per atom.

Unit cell a=3.3788 b=6.7382 c=9.3652 alpha=112.01 beta=90.00 gamma=90.00
Last column: magnetic moment on the atom in μB.
Element x y z (fractional)
Se 0.2500 0.8045 0.9532  -0.05
Fe 0.7500 0.8832 0.8114  0.66
Se 0.7500 0.5340 0.6343  0.01
V 0.2500 0.2334 0.5255  -0.16
Se 0.2500 0.4660 0.3657  0.01
Se 0.2500 0.8749 0.3173  0.01
Se 0.7500 0.1251 0.6827  0.01
V 0.7500 0.7666 0.4745  -0.16
Se 0.7500 0.1955 0.0468  -0.05
Fe 0.2500 0.1168 0.1886  0.66

***

| no. | magnetization (μB/atom) |
| --- | --- |
| 1 | 0.388 |
| 2 | 0.000 |
| 3 | 0.091 |
| 4 | 0.924 |
| 5 | 0.991 |
| 6 | 0.681 |
| 7 | 0.085 |
| 8 | 0.823 |
| 9 | 0.892 |
| 10 | 1.291 |
| 11 | 0.306 |
| 12 | 0.173 |
| 13 | 0.374 |
| 14 | 0.070 |
| 15 | 0.985 |
| 16 | 0.977 |
| 17 | 0.000 |
| 18 | 0.473 |
| 19 | 1.264 |
| 20 | 0.087 |